A plane-wave DFT calculation with PBE-GGA was carried out for a relaxed SrCaCo2Cu crystal.

abc: 4.7175 4.7175 6.0510
angles: 90.00 90.00 90.00
Space group P4/mmm (No. 123)
One atom of each set of equivalent atoms:
Sr1 0.0000 0.0000 0.0000 (multiplicity 1)
Ca1 0.0000 0.0000 0.5000 (multiplicity 1)
Co1 0.0000 0.5000 0.5000 (multiplicity 2)
Cu1 0.5000 0.5000 0.0000 (multiplicity 1)

Properties
The calculation puts the energy relative to the elements at 1.567 eV/atom. The calculation puts the total magnetization at 2.582 μB per formula unit. The calculation puts the uncorrected energy at -14.156 eV per cell.

***

A plane-wave DFT calculation with PBE-GGA was carried out for a relaxed Mg2TlRu crystal.

abc: 3.4177 3.4560 6.3445
angles: 90.00 90.00 90.00
Space group Pmmm (No. 47)
One atom of each set of equivalent atoms:
Mg1 0.0000 0.0000 0.2094 (multiplicity 2)
Tl1 0.5000 0.5000 0.5000 (multiplicity 1)
Ru1 0.5000 0.5000 0.0000 (multiplicity 1)

Properties
The calculation puts the energy relative to the elements at 0.053 eV/atom. The calculation puts the total magnetization at 0.000 μB per formula unit. The calculation puts the uncorrected energy at -14.620 eV per cell. The relative energy among the computed polymorphs comes out at 0.000 eV/atom.

***

A plane-wave DFT calculation with PBE-GGA was carried out for a relaxed MgSc2FeH crystal.

abc: 4.6016 4.6016 3.6227
angles: 90.00 90.00 90.00
Space group P4/mmm (No. 123)
One atom of each set of equivalent atoms:
Mg1 0.0000 0.0000 0.0000 (multiplicity 1)
Sc1 0.0000 0.5000 0.5000 (multiplicity 2)
Fe1 0.5000 0.5000 0.0000 (multiplicity 1)
H1 0.5000 0.5000 0.5000 (multiplicity 1)

Properties
The calculation puts the total magnetization at 0.916 μB per formula unit. The calculation puts the uncorrected energy at -26.626 eV per cell.

***

A plane-wave DFT calculation with PBE-GGA was carried out for a relaxed WAuSCl2 crystal.

abc: 4.8099 4.8099 5.1666
angles: 90.00 90.00 90.00
Space group P4/mmm (No. 123)
One atom of each set of equivalent atoms:
W1 0.0000 0.0000 0.0000 (multiplicity 1)
Au1 0.5000 0.5000 0.5000 (multiplicity 1)
S1 0.5000 0.5000 0.0000 (multiplicity 1)
Cl1 0.0000 0.5000 0.5000 (multiplicity 2)

Properties
The calculation puts the uncorrected formation energy at 1.225 eV per atom. The calculation puts the total magnetization at 4.249 μB per formula unit. The calculation puts the uncorrected energy at -17.928 eV per cell. The relative energy among the computed polymorphs comes out at 0.948 eV/atom.

***

A plane-wave DFT calculation with PBE-GGA was carried out for a relaxed MgScSn2 crystal.

abc: 4.6497 4.6497 4.2351
angles: 90.00 90.00 90.00
Space group P4/mmm (No. 123)
One atom of each set of equivalent atoms:
Mg1 0.0000 0.0000 0.0000 (multiplicity 1)
Sc1 0.5000 0.5000 0.0000 (multiplicity 1)
Sn1 0.0000 0.5000 0.5000 (multiplicity 2)

Properties
The calculation puts the energy relative to the elements at -0.392 eV/atom. The calculation puts the total magnetization at 0.000 μB per formula unit. The calculation puts the uncorrected energy at -17.498 eV per cell.

***

A plane-wave DFT calculation with PBE-GGA was carried out for a relaxed Hg2PtAu crystal.

abc: 6.0000 8.4452 3.0123
angles: 90.00 90.00 90.00
Space group Cmmm (No. 65)
One atom of each set of equivalent atoms:
Hg1 0.2500 0.2500 0.0000 (multiplicity 4)
Pt1 0.0000 0.0000 0.5000 (multiplicity 2)
Au1 0.0000 0.5000 0.5000 (multiplicity 2)

Properties
The calculation puts the energy relative to the elements at 0.097 eV/atom. The calculation puts the total magnetization at 0.000 μB per formula unit. The calculation puts the uncorrected energy at -19.064 eV per cell. The relative energy among the computed polymorphs comes out at 0.056 eV/atom.

***

Q: Which of these has the highest uncorrected energy?
A: SrCaCo2Cu

***

Q: Which value of uncorrected energy does entry 2 give?
A: -14.620 eV per cell

***

What did the first record say?
A plane-wave DFT calculation with PBE-GGA was carried out for a relaxed SrCaCo2Cu crystal.

abc: 4.7175 4.7175 6.0510
angles: 90.00 90.00 90.00
Space group P4/mmm (No. 123)
One atom of each set of equivalent atoms:
Sr1 0.0000 0.0000 0.0000 (multiplicity 1)
Ca1 0.0000 0.0000 0.5000 (multiplicity 1)
Co1 0.0000 0.5000 0.5000 (multiplicity 2)
Cu1 0.5000 0.5000 0.0000 (multiplicity 1)

Properties
The calculation puts the energy relative to the elements at 1.567 eV/atom. The calculation puts the total magnetization at 2.582 μB per formula unit. The calculation puts the uncorrected energy at -14.156 eV per cell.